Compound: Pm16Sm6Ho7
Source: the Alexandria database
Functional: PBE-GGA
Structure: optimized geometry

V (Å³ per cell): 1020
Calculated formation energy (eV per atom): 0.210
E (eV per atom): -4.492

Structure (POSCAR):
```
Pm16Sm6Ho7
1.0
9.785 0.000 5.649
3.262 9.225 5.649
0.000 0.000 11.299
Pm Sm Ho
16 6 7
Cartesian
11.410 8.068 19.763
6.523 0.444 11.299
8.488 6.002 7.895
6.535 8.068 16.948
6.523 8.781 11.299
4.558 3.223 7.895
1.637 1.157 8.464
1.637 1.157 2.835
8.488 6.002 14.702
10.453 3.223 11.299
4.558 3.223 14.702
3.262 5.753 5.649
11.410 8.068 14.134
2.593 6.002 11.299
9.785 3.472 16.948
6.512 1.157 5.649
8.020 2.496 13.892
5.026 6.730 13.892
9.517 6.730 11.299
3.529 2.496 11.299
8.020 2.496 8.706
5.026 6.730 8.706
1.631 4.613 8.474
4.893 0.000 8.474
0.000 0.000 0.000
4.893 0.000 2.825
1.631 4.613 2.825
6.523 4.613 5.649
0.000 0.000 5.649
```